DFT (PBE) results for an optimized crystal structure of HoCuPbS3.

DFT total energy in eV/atom: -5.149

Lattice parameters (Å, degrees): 7.489 3.905 9.599 90.00 106.07 90.00
Atoms (fractional coordinates):
Cu1 0.915 0.750 0.413
Cu2 0.085 0.250 0.587
Ho1 0.695 0.250 0.160
Ho2 0.305 0.750 0.840
Pb1 0.256 0.250 0.302
Pb2 0.744 0.750 0.698
S1 0.431 0.750 0.137
S2 0.949 0.750 0.177
S3 0.749 0.250 0.453
S4 0.251 0.750 0.547
S5 0.051 0.250 0.823
S6 0.569 0.250 0.863



DFT (PBE) results for an optimized crystal structure of HoCuPbS3.

DFT total energy in eV/atom: -5.136

Lattice parameters (Å, degrees): 10.913 4.066 11.324 90.00 90.00 90.00
Atoms (fractional coordinates):
Cu1 0.754 0.000 0.204
Cu2 0.254 0.000 0.296
Cu3 0.746 0.500 0.704
Cu4 0.246 0.500 0.796
Ho1 0.486 0.500 0.181
Ho2 0.986 0.500 0.319
Ho3 0.014 0.000 0.681
Ho4 0.514 0.000 0.819
Pb1 0.181 0.000 0.005
Pb2 0.681 0.000 0.495
Pb3 0.319 0.500 0.505
Pb4 0.819 0.500 0.995
S1 0.599 0.000 0.062
S2 0.959 0.000 0.149
S3 0.227 0.500 0.193
S4 0.727 0.500 0.307
S5 0.459 0.000 0.351
S6 0.099 0.000 0.438
S7 0.901 0.500 0.562
S8 0.541 0.500 0.649
S9 0.273 0.000 0.693
S10 0.773 0.000 0.807
S11 0.041 0.500 0.851
S12 0.401 0.500 0.938



DFT (PBE) results for an optimized crystal structure of HoCuPbSeS2.

DFT total energy in eV/atom: -5.026

Lattice parameters (Å, degrees): 6.948 6.948 10.496 90.00 90.00 147.01
Atoms (fractional coordinates):
Cu1 0.031 0.969 0.250
Cu2 0.969 0.031 0.750
Ho1 0.500 0.500 0.000
Ho2 0.500 0.500 0.500
Pb1 0.731 0.269 0.250
Pb2 0.269 0.731 0.750
S1 0.132 0.868 0.069
S2 0.132 0.868 0.431
S3 0.868 0.132 0.569
S4 0.868 0.132 0.931
Se1 0.414 0.586 0.250
Se2 0.586 0.414 0.750



DFT (PBE) results for an optimized crystal structure of HoCuPbSe3.

DFT total energy in eV/atom: -4.754

Lattice parameters (Å, degrees): 10.587 4.062 13.574 90.00 90.00 90.00
Atoms (fractional coordinates):
Cu1 0.255 0.750 0.219
Cu2 0.755 0.750 0.281
Cu3 0.245 0.250 0.719
Cu4 0.745 0.250 0.781
Ho1 0.010 0.250 0.243
Ho2 0.510 0.250 0.257
Ho3 0.490 0.750 0.743
Ho4 0.990 0.750 0.757
Pb1 0.270 0.250 0.006
Pb2 0.770 0.250 0.494
Pb3 0.230 0.750 0.506
Pb4 0.730 0.750 0.994
Se1 0.076 0.750 0.106
Se2 0.447 0.750 0.114
Se3 0.756 0.250 0.171
Se4 0.256 0.250 0.329
Se5 0.947 0.750 0.386
Se6 0.576 0.750 0.394
Se7 0.424 0.250 0.606
Se8 0.053 0.250 0.614
Se9 0.744 0.750 0.671
Se10 0.244 0.750 0.829
Se11 0.553 0.250 0.886
Se12 0.924 0.250 0.894



DFT (PBE) results for an optimized crystal structure of HoCuTe2PbSe.

DFT total energy in eV/atom: -4.434

Lattice parameters (Å, degrees): 7.564 7.564 10.610 90.00 90.00 147.62
Atoms (fractional coordinates):
Cu1 0.526 0.474 0.250
Cu2 0.474 0.526 0.750
Ho1 0.000 0.000 0.000
Ho2 0.000 0.000 0.500
Pb1 0.260 0.740 0.250
Pb2 0.740 0.260 0.750
Se1 0.929 0.071 0.250
Se2 0.071 0.929 0.750
Te1 0.646 0.354 0.062
Te2 0.646 0.354 0.438
Te3 0.354 0.646 0.562
Te4 0.354 0.646 0.938



DFT (PBE) results for an optimized crystal structure of TbHoCu2Pb.

DFT total energy in eV/atom: -4.446

Lattice parameters (Å, degrees): 3.663 7.313 7.313 33.59 90.00 90.00
Atoms (fractional coordinates):
Cu1 0.500 0.204 0.204
Cu2 0.500 0.797 0.797
Ho1 0.000 0.365 0.365
Pb1 0.500 0.999 0.999
Tb1 0.000 0.635 0.635



DFT (PBE) results for an optimized crystal structure of HoCuTe3Pb.

DFT total energy in eV/atom: -4.282

Lattice parameters (Å, degrees): 7.608 7.608 11.207 90.00 90.00 32.65
Atoms (fractional coordinates):
Cu1 0.469 0.469 0.250
Cu2 0.531 0.531 0.750
Ho1 0.000 0.000 0.000
Ho2 0.000 0.000 0.500
Pb1 0.762 0.762 0.250
Pb2 0.238 0.238 0.750
Te1 0.357 0.357 0.063
Te2 0.082 0.082 0.250
Te3 0.357 0.357 0.437
Te4 0.643 0.643 0.563
Te5 0.918 0.918 0.750
Te6 0.643 0.643 0.937



DFT (PBE) results for an optimized crystal structure of HoCuTe3Pb.

DFT total energy in eV/atom: -4.266

Lattice parameters (Å, degrees): 8.323 4.281 10.595 90.00 106.01 90.00
Atoms (fractional coordinates):
Cu1 0.923 0.750 0.412
Cu2 0.077 0.250 0.588
Ho1 0.699 0.250 0.168
Ho2 0.301 0.750 0.832
Pb1 0.259 0.250 0.301
Pb2 0.741 0.750 0.699
Te1 0.425 0.750 0.137
Te2 0.956 0.750 0.169
Te3 0.745 0.250 0.460
Te4 0.255 0.750 0.540
Te5 0.044 0.250 0.831
Te6 0.575 0.250 0.863



DFT (PBE) results for an optimized crystal structure of HoCuTe3Pb.

DFT total energy in eV/atom: -4.285

Lattice parameters (Å, degrees): 11.245 4.291 14.588 90.00 90.00 90.00
Atoms (fractional coordinates):
Cu1 0.241 0.750 0.222
Cu2 0.741 0.750 0.278
Cu3 0.259 0.250 0.722
Cu4 0.759 0.250 0.778
Ho1 0.475 0.250 0.242
Ho2 0.975 0.250 0.258
Ho3 0.025 0.750 0.742
Ho4 0.525 0.750 0.758
Pb1 0.217 0.250 0.008
Pb2 0.717 0.250 0.492
Pb3 0.283 0.750 0.508
Pb4 0.783 0.750 0.992
Te1 0.414 0.750 0.102
Te2 0.045 0.750 0.114
Te3 0.731 0.250 0.167
Te4 0.231 0.250 0.333
Te5 0.545 0.750 0.386
Te6 0.914 0.750 0.398
Te7 0.086 0.250 0.602
Te8 0.455 0.250 0.614
Te9 0.769 0.750 0.667
Te10 0.269 0.750 0.833
Te11 0.955 0.250 0.886
Te12 0.586 0.250 0.898



DFT (PBE) results for an optimized crystal structure of HoCuTe3Pb.

DFT total energy in eV/atom: -4.223

Lattice parameters (Å, degrees): 8.938 4.472 17.239 90.00 90.00 90.00
Atoms (fractional coordinates):
Cu1 0.126 0.750 0.132
Cu2 0.626 0.750 0.368
Cu3 0.374 0.250 0.632
Cu4 0.874 0.250 0.868
Ho1 0.757 0.750 0.038
Ho2 0.257 0.750 0.462
Ho3 0.743 0.250 0.538
Ho4 0.243 0.250 0.962
Pb1 0.419 0.250 0.218
Pb2 0.919 0.250 0.282
Pb3 0.081 0.750 0.718
Pb4 0.581 0.750 0.782
Te1 0.382 0.750 0.059
Te2 0.985 0.250 0.095
Te3 0.686 0.750 0.215
Te4 0.186 0.750 0.285
Te5 0.485 0.250 0.405
Te6 0.882 0.750 0.441
Te7 0.118 0.250 0.559
Te8 0.515 0.750 0.595
Te9 0.814 0.250 0.715
Te10 0.314 0.250 0.785
Te11 0.015 0.750 0.905
Te12 0.618 0.250 0.941



DFT (PBE) results for an optimized crystal structure of HoCuTe3Pb.

DFT total energy in eV/atom: -4.240

Lattice parameters (Å, degrees): 12.353 4.425 12.432 90.00 90.00 90.00
Atoms (fractional coordinates):
Cu1 0.767 0.000 0.203
Cu2 0.267 0.000 0.297
Cu3 0.733 0.500 0.703
Cu4 0.233 0.500 0.797
Ho1 0.469 0.500 0.189
Ho2 0.969 0.500 0.311
Ho3 0.031 0.000 0.689
Ho4 0.531 0.000 0.811
Pb1 0.800 0.500 0.022
Pb2 0.300 0.500 0.478
Pb3 0.700 0.000 0.522
Pb4 0.200 0.000 0.978
Te1 0.599 0.000 0.063
Te2 0.966 0.000 0.135
Te3 0.217 0.500 0.189
Te4 0.717 0.500 0.311
Te5 0.466 0.000 0.365
Te6 0.099 0.000 0.437
Te7 0.901 0.500 0.563
Te8 0.534 0.500 0.635
Te9 0.283 0.000 0.689
Te10 0.783 0.000 0.811
Te11 0.034 0.500 0.865
Te12 0.401 0.500 0.937



DFT (PBE) results for an optimized crystal structure of Ho2CuPd.

ΔE_f in eV/atom: -0.617
DFT total energy in eV/atom: -5.129

Lattice parameters (Å, degrees): 4.495 5.459 7.065 90.00 90.00 90.00
Atoms (fractional coordinates):
Cu1 0.000 0.114 0.036
Cu2 0.000 0.886 0.536
Ho1 0.000 0.613 0.182
Ho2 0.500 0.116 0.318
Ho3 0.000 0.387 0.682
Ho4 0.500 0.884 0.818
Pd1 0.500 0.614 0.464
Pd2 0.500 0.386 0.964